6
Lattice="3.398 0.000 0.000 0.000 3.398 0.000 0.000 0.000 10.801" Properties=species:S:1:pos:R:3 comment="Sc3Cd2Pd PBE-GGA optimized geometry" total_magnetization_mub_per_cell=0.03 spacegroup="No. 123" volume_a3_per_cell=124.7 ef_ev_per_atom=-0.48 pbc="T T T"
Sc 0.000 0.000 0.000
Sc 0.000 0.000 3.817
Sc 0.000 0.000 6.985
Cd 1.699 1.699 1.879
Cd 1.699 1.699 8.922
Pd 1.699 1.699 5.401